1.
{"formula": "BaMnAl2Sn", "functional": "meta-GGA SCAN", "state": "single point on PBEsol structure", "sg": "P4/mmm", "total_magnetization_mub_per_atom": 0.79, "e_form_ev_per_atom": 1.6044, "dos_ef_per_ev_fu": 3.97, "lattice_angstrom": [[5.2002, 0.0000, 0.0000], [0.0000, 5.6487, 0.0000], [0.0000, 0.0000, 5.6487]], "species": ["Al", "Mn", "Al", "Sn", "Ba"], "frac_coords": [[0.0000, 0.5000, 0.0000], [0.5000, 0.0000, 0.0000], [0.0000, 0.0000, 0.5000], [0.5000, 0.5000, 0.5000], [0.0000, 0.0000, 0.0000]]}



2.
{"formula": "RbRuS2", "functional": "meta-GGA SCAN", "state": "single point on PBEsol structure", "sg": "I-42d", "total_magnetization_mub_per_atom": 0.00, "dos_ef_per_ev_fu": 1.96, "lattice_angstrom": [[6.3408, 0.0439, 0.0709], [-2.3924, 5.8723, -0.0709], [-2.3924, -2.6790, 5.2261]], "species": ["Ru", "S", "S", "S", "Rb", "Rb", "Ru", "S"], "frac_coords": [[0.5000, 0.7500, 0.2500], [0.1239, 0.7489, 0.1250], [0.3761, 0.3750, 0.2511], [0.8761, 0.0011, 0.6250], [0.0000, 0.5000, 0.5000], [0.5000, 0.2500, 0.7500], [0.0000, 0.0000, 0.0000], [0.6239, 0.8750, 0.9989]]}



3.
{"formula": "LiTl2InGe", "functional": "meta-GGA SCAN", "state": "single point on PBEsol structure", "sg": "P4/mmm", "total_magnetization_mub_per_atom": 0.00, "e_form_ev_per_atom": 0.3022, "dos_ef_per_ev_fu": 2.29, "lattice_angstrom": [[-2.2768, -1.2331, 4.4964], [4.8941, -1.7536, 1.9973], [1.0449, 5.1176, 1.9325]], "species": ["Li", "Tl", "Ge", "Tl", "In"], "frac_coords": [[0.5000, 0.5000, 0.5000], [0.0000, 0.5000, 0.0000], [0.0000, 0.0000, 0.0000], [0.0000, 0.0000, 0.5000], [0.5000, 0.0000, 0.0000]]}



4.
{"formula": "CrAsRu2", "functional": "meta-GGA SCAN", "state": "single point on PBEsol structure", "sg": "Pmm2", "total_magnetization_mub_per_atom": 0.52, "e_form_ev_per_atom": -0.0128, "dos_ef_per_ev_fu": 2.98, "lattice_angstrom": [[-1.1709, 0.8631, 2.4285], [-2.8649, -2.2645, -0.5765], [2.4521, -3.7417, 2.5122]], "species": ["As", "Cr", "Ru", "Ru"], "frac_coords": [[0.0000, 0.0000, 0.4793], [0.5000, 0.5000, 0.7754], [0.5000, 0.5000, 0.2867], [0.0000, 0.0000, 0.9586]]}



5.
{"formula": "KNiSb2", "functional": "meta-GGA SCAN", "state": "single point on PBEsol structure", "sg": "C2/m", "total_magnetization_mub_per_atom": 0.00, "relative_energy_ev_per_atom": 0.000, "dos_ef_per_ev_fu": 0.92, "lattice_angstrom": [[-2.1706, -0.8054, 3.3060], [2.1560, -2.9148, -1.7582], [5.0704, 3.9661, 4.2952]], "species": ["Sb", "Ni", "Sb", "K"], "frac_coords": [[0.2156, 0.4312, 0.1464], [0.5000, 0.0000, 0.0000], [0.7844, 0.5688, 0.8536], [0.0000, 0.0000, 0.5000]]}



6.
{"formula": "LaTa3H", "functional": "meta-GGA SCAN", "state": "single point on PBEsol structure", "sg": "Pm-3m", "total_magnetization_mub_per_atom": 0.07, "dos_ef_per_ev_fu": 3.45, "lattice_angstrom": [[4.8740, 0.0000, 0.0000], [0.0000, 4.8740, 0.0000], [0.0000, 0.0000, 4.8740]], "species": ["H", "Ta", "Ta", "La", "Ta"], "frac_coords": [[0.5000, 0.5000, 0.5000], [0.0000, 0.0000, 0.5000], [0.0000, 0.5000, 0.0000], [0.0000, 0.0000, 0.0000], [0.5000, 0.0000, 0.0000]]}



7.
{"formula": "Cd3Pb2", "functional": "meta-GGA SCAN", "state": "single point on PBEsol structure", "sg": "R-3m", "total_magnetization_mub_per_atom": 0.00, "e_form_ev_per_atom": 0.0687, "dos_ef_per_ev_fu": 1.75, "lattice_angstrom": [[3.4195, 0.0000, 0.0000], [1.7098, 2.9614, 0.0000], [1.7098, 0.9871, 12.4020]], "species": ["Cd", "Cd", "Cd", "Pb", "Pb"], "frac_coords": [[0.0000, 0.0000, 0.0000], [0.1962, 0.1962, 0.4115], [0.8038, 0.8038, 0.5885], [0.4020, 0.4020, 0.7941], [0.5980, 0.5980, 0.2059]]}



8.
{"formula": "BaCa4Co2N4", "functional": "meta-GGA SCAN", "state": "single point on PBEsol structure", "sg": "P4/ncc", "total_magnetization_mub_per_atom": 0.36, "lattice_angstrom": [[-2.8915, -7.1998, 2.8275], [6.6942, -0.8168, 4.7659], [-5.6084, 5.7318, 8.8599]], "species": ["Ca", "Ca", "Ca", "Ca", "N", "Co", "N", "Co", "Ca", "Ca", "Co", "N", "Ba", "Ca", "Ba", "Ca", "N", "Co", "Ca", "N", "Ca", "N", "Co", "Ca", "N", "Ca", "N", "Ca", "N", "N", "N", "Ca", "Ca", "Ca", "Ba", "N", "Co", "N", "N", "N", "Co", "Co", "Ba", "N"], "frac_coords": [[0.8807, 0.8335, 0.5962], [0.3807, 0.3335, 0.4038], [0.6193, 0.6665, 0.4038], [0.8335, 0.1193, 0.4038], [0.3189, 0.6221, 0.3950], [0.8445, 0.1555, 0.7500], [0.6221, 0.6811, 0.6050], [0.6555, 0.6555, 0.7500], [0.1193, 0.1665, 0.5962], [0.6193, 0.3335, 0.9038], [0.1555, 0.8445, 0.7500], [0.1221, 0.8189, 0.8950], [0.0000, 0.5000, 0.3404], [0.8335, 0.8807, 0.9038], [0.0000, 0.5000, 0.8404], [0.8807, 0.1665, 0.0962], [0.1221, 0.1811, 0.3950], [0.6555, 0.3445, 0.2500], [0.1665, 0.1193, 0.9038], [0.6811, 0.6221, 0.8950], [0.6665, 0.6193, 0.0962], [0.3779, 0.3189, 0.6050], [0.3445, 0.3445, 0.7500], [0.3335, 0.6193, 0.5962], [0.8189, 0.8779, 0.1050], [0.6665, 0.3807, 0.5962], [0.8779, 0.8189, 0.3950], [0.3335, 0.3807, 0.0962], [0.3779, 0.6811, 0.1050], [0.8189, 0.1221, 0.6050], [0.6811, 0.3779, 0.3950], [0.1193, 0.8335, 0.0962], [0.1665, 0.8807, 0.4038], [0.3807, 0.6665, 0.9038], [0.5000, 0.0000, 0.6596], [0.1811, 0.8779, 0.6050], [0.1555, 0.1555, 0.2500], [0.3189, 0.3779, 0.8950], [0.1811, 0.1221, 0.1050], [0.8779, 0.1811, 0.8950], [0.3445, 0.6555, 0.2500], [0.8445, 0.8445, 0.2500], [0.5000, 0.0000, 0.1596], [0.6221, 0.3189, 0.1050]]}



9.
{"formula": "TaZn2Ir", "functional": "meta-GGA SCAN", "state": "single point on PBEsol structure", "sg": "I-4m2", "total_magnetization_mub_per_atom": 0.00, "e_form_ev_per_atom": -0.3775, "dos_ef_per_ev_fu": 0.09, "lattice_angstrom": [[-3.5378, 1.0796, -1.9130], [0.2282, -4.0832, 1.8060], [-2.1133, -0.6836, 3.5225]], "species": ["Ta", "Ir", "Zn", "Zn"], "frac_coords": [[0.7500, 0.5000, 0.7500], [0.5000, 0.0000, 0.5000], [0.0000, 0.0000, 0.0000], [0.2500, 0.5000, 0.2500]]}



10.
{"formula": "CdCuRe2", "functional": "meta-GGA SCAN", "state": "single point on PBEsol structure", "sg": "R-3m", "total_magnetization_mub_per_atom": 0.00, "e_form_ev_per_atom": 0.5138, "dos_ef_per_ev_fu": 2.87, "lattice_angstrom": [[2.7331, 0.0000, 0.0000], [1.3665, 2.3669, 0.0000], [1.3665, 0.7890, 9.1878]], "species": ["Cu", "Re", "Cd", "Re"], "frac_coords": [[0.0000, 0.0000, 0.0000], [0.2565, 0.2565, 0.2306], [0.5000, 0.5000, 0.5000], [0.7435, 0.7435, 0.7694]]}



11.
{"formula": "CsNb3Au", "functional": "meta-GGA SCAN", "state": "single point on PBEsol structure", "sg": "Pm-3m", "total_magnetization_mub_per_atom": 0.68, "e_form_ev_per_atom": 1.6756, "dos_ef_per_ev_fu": 7.19, "lattice_angstrom": [[-1.5900, -2.1725, 4.3468], [4.2931, -2.7708, 0.1855], [2.2768, 3.7075, 2.6858]], "species": ["Au", "Nb", "Cs", "Nb", "Nb"], "frac_coords": [[0.0000, 0.0000, 0.0000], [0.0000, 0.5000, 0.0000], [0.5000, 0.5000, 0.5000], [0.0000, 0.0000, 0.5000], [0.5000, 0.0000, 0.0000]]}



12.
{"formula": "TeAsWBr2", "functional": "meta-GGA SCAN", "state": "single point on PBEsol structure", "sg": "P4/mmm", "total_magnetization_mub_per_atom": 0.82, "dos_ef_per_ev_fu": 5.29, "lattice_angstrom": [[5.3413, 0.0000, 0.0000], [0.0000, 5.3413, 0.0000], [0.0000, 0.0000, 5.4897]], "species": ["Br", "As", "W", "Br", "Te"], "frac_coords": [[0.0000, 0.5000, 0.0000], [0.0000, 0.0000, 0.5000], [0.5000, 0.5000, 0.5000], [0.5000, 0.0000, 0.0000], [0.0000, 0.0000, 0.0000]]}



13.
{"formula": "SrLi2Au", "functional": "meta-GGA SCAN", "state": "single point on PBEsol structure", "sg": "R-3m", "total_magnetization_mub_per_atom": 0.00, "relative_energy_ev_per_atom": 0.076, "e_form_ev_per_atom": -0.4498, "dos_ef_per_ev_fu": 2.37, "lattice_angstrom": [[4.4823, 0.0000, 0.0000], [2.2412, 3.8818, 0.0000], [2.2412, 1.2939, 5.3645]], "species": ["Au", "Sr", "Li", "Li"], "frac_coords": [[0.0000, 0.0000, 0.0000], [0.5000, 0.5000, 0.5000], [0.7003, 0.7003, 0.8992], [0.2997, 0.2997, 0.1008]]}



14.
{"formula": "MnAlOs2", "functional": "meta-GGA SCAN", "state": "single point on PBEsol structure", "sg": "Cmm2", "total_magnetization_mub_per_atom": 0.61, "e_form_ev_per_atom": 0.1461, "dos_ef_per_ev_fu": 3.40, "lattice_angstrom": [[-1.7741, -1.5814, 1.1981], [1.5748, -1.1205, -1.8299], [5.7475, -1.8447, 6.0756]], "species": ["Os", "Os", "Mn", "Al"], "frac_coords": [[0.0000, 0.0000, 0.0118], [0.5000, 0.5000, 0.7421], [0.5000, 0.5000, 0.2542], [0.0000, 0.0000, 0.4919]]}



15.
{"formula": "Rb2NF", "functional": "meta-GGA SCAN", "state": "single point on PBEsol structure", "sg": "I-42d", "total_magnetization_mub_per_atom": 0.50, "dos_ef_per_ev_fu": 2.57, "lattice_angstrom": [[-4.7250, 3.6791, -2.8404], [-1.5640, -6.4256, 0.4414], [1.1006, 1.5564, 6.3479]], "species": ["Rb", "F", "Rb", "Rb", "F", "N", "N", "Rb"], "frac_coords": [[0.0277, 0.6527, 0.1250], [0.0000, 0.0000, 0.0000], [0.5277, 0.8750, 0.9027], [0.4723, 0.3750, 0.3473], [0.5000, 0.7500, 0.2500], [0.5000, 0.2500, 0.7500], [0.0000, 0.5000, 0.5000], [0.9723, 0.0973, 0.6250]]}



16.
{"formula": "AsH2S", "functional": "meta-GGA SCAN", "state": "single point on PBEsol structure", "sg": "I-42d", "total_magnetization_mub_per_atom": 0.00, "relative_energy_ev_per_atom": 0.000, "dos_ef_per_ev_fu": 1.91, "lattice_angstrom": [[-4.0191, 2.7714, -1.6825], [-0.8135, -4.1391, 2.9785], [3.1730, 1.9916, 3.5539]], "species": ["H", "As", "S", "H", "S", "H", "As", "H"], "frac_coords": [[0.1425, 0.3750, 0.0175], [0.0000, 0.0000, 0.0000], [0.0000, 0.5000, 0.5000], [0.6425, 0.7675, 0.6250], [0.5000, 0.2500, 0.7500], [0.3575, 0.9825, 0.1250], [0.5000, 0.7500, 0.2500], [0.8575, 0.8750, 0.2325]]}



17.
{"formula": "CaMnO2", "functional": "meta-GGA SCAN", "state": "single point on PBEsol structure", "sg": "R-3m", "total_magnetization_mub_per_atom": 1.25, "lattice_angstrom": [[3.2674, 0.0000, 0.0000], [1.6337, 2.8297, 0.0000], [1.6337, 0.9432, 5.1973]], "species": ["Mn", "O", "Ca", "O"], "frac_coords": [[0.0000, 0.0000, 0.0000], [0.7447, 0.7447, 0.7659], [0.5000, 0.5000, 0.5000], [0.2553, 0.2553, 0.2341]]}



18.
{"formula": "Hf3ScI", "functional": "meta-GGA SCAN", "state": "single point on PBEsol structure", "sg": "Pm-3m", "total_magnetization_mub_per_atom": 0.00, "dos_ef_per_ev_fu": 4.96, "lattice_angstrom": [[-2.1028, -0.0426, -4.6780], [1.8257, -4.7297, -0.7776], [-4.3072, -1.9839, 1.9542]], "species": ["I", "Hf", "Hf", "Hf", "Sc"], "frac_coords": [[0.0000, 0.0000, 0.0000], [0.0000, 0.0000, 0.5000], [0.0000, 0.5000, 0.0000], [0.5000, 0.0000, 0.0000], [0.5000, 0.5000, 0.5000]]}



19.
{"formula": "BeOsRu2", "functional": "meta-GGA SCAN", "state": "single point on PBEsol structure", "sg": "P4mm", "total_magnetization_mub_per_atom": 0.00, "e_form_ev_per_atom": -0.0951, "dos_ef_per_ev_fu": 2.93, "lattice_angstrom": [[2.7429, 0.0000, 0.0000], [0.0000, 2.7429, 0.0000], [0.0000, 0.0000, 6.4000]], "species": ["Ru", "Be", "Os", "Ru"], "frac_coords": [[0.0000, 0.0000, 0.0014], [0.0000, 0.0000, 0.4967], [0.5000, 0.5000, 0.7178], [0.5000, 0.5000, 0.2841]]}



20.
{"formula": "Be3TlIr", "functional": "meta-GGA SCAN", "state": "single point on PBEsol structure", "sg": "Pm-3m", "total_magnetization_mub_per_atom": 0.00, "e_form_ev_per_atom": 1.5702, "dos_ef_per_ev_fu": 2.60, "lattice_angstrom": [[-0.4255, -3.7005, 2.1596], [-1.6456, -1.8626, -3.5158], [3.9559, -1.1728, -1.2303]], "species": ["Ir", "Be", "Tl", "Be", "Be"], "frac_coords": [[0.5000, 0.5000, 0.5000], [0.0000, 0.5000, 0.0000], [0.0000, 0.0000, 0.0000], [0.0000, 0.0000, 0.5000], [0.5000, 0.0000, 0.0000]]}



no.,total DFT energy (no corrections) (eV per atom)
1,-20.242
2,-19.435
3,-39.614
4,-27.070
5,-25.109
6,-46.179
7,-48.492
8,-14.469
9,-41.556
10,-46.438
11,-39.596
12,-31.635
13,-24.503
14,-42.296
15,-14.271
16,-8.440
17,-12.665
18,-46.808
19,-36.567
20,-29.733